Computed, not measured: a relaxed structure of Te3Mo at the PBE level of DFT.

Density of states at the Fermi level: 0.389 states/eV/atom
V: 119 Å³/f.u.
Raw total energy: -5.1737 eV/atom
Formation energy (no corrections): -0.110 eV per atom

CIF file:
```
data_Te3Mo
_space_group_name_H-M_alt 'P 1'
_space_group_IT_number 1
_cell_length_a 3.562
_cell_length_b 8.410
_cell_length_c 7.953
_cell_angle_alpha 90.00
_cell_angle_beta 90.00
_cell_angle_gamma 90.00
loop_
_space_group_symop_operation_xyz
'x,y,z'
loop_
_atom_site_label
_atom_site_type_symbol
_atom_site_fract_x
_atom_site_fract_y
_atom_site_fract_z
_atom_site_occupancy
Te1 Te 0.250 0.061 0.173 1
Te2 Te 0.250 0.250 0.706 1
Te3 Te 0.250 0.439 0.173 1
Te4 Te 0.750 0.561 0.827 1
Te5 Te 0.750 0.750 0.294 1
Te6 Te 0.750 0.939 0.827 1
Mo1 Mo 0.250 0.750 0.028 1
Mo2 Mo 0.750 0.250 0.972 1
```